No. 1
Mn2Cd: optimized geometry, PBE.

DFT total energy	-5.794	eV/atom
formation energy	0.62	eV per atom
total moment	2.213	μB/atom

Lattice parameters (Å, degrees): 2.782 4.403 17.211 90.00 90.00 90.00
Each line ends with the local moment (μB).
Element x y z (fractional)
Mn1 0.000 0.250 0.042  3.38
Mn2 0.000 0.250 0.190  3.11
Mn3 0.000 0.750 0.810  3.11
Mn4 0.000 0.750 0.958  3.38
Mn5 0.500 0.250 0.310  3.11
Mn6 0.500 0.250 0.458  3.38
Mn7 0.500 0.750 0.542  3.38
Mn8 0.500 0.750 0.690  3.11
Cd1 0.000 0.250 0.616  -0.07
Cd2 0.000 0.750 0.384  -0.07
Cd3 0.500 0.250 0.884  -0.07
Cd4 0.500 0.750 0.116  -0.07

No. 2
TbY3Tl2S: optimized geometry, PBE.

DFT total energy	-5.373	eV/atom
formation energy (no corrections)	-456	kJ/mol of formula units
total moment	0.000	μB/atom

Lattice parameters (Å, degrees): 5.099 5.078 8.760 106.85 106.92 90.00
Element x y z (fractional)
Tb1 0.500 0.000 0.000
Y1 0.000 0.500 0.000
Y2 0.172 0.172 0.345
Y3 0.828 0.828 0.655
Tl1 0.633 0.633 0.266
Tl2 0.367 0.367 0.734
S1 0.000 0.000 0.000

No. 3
CeGdDyLu: optimized geometry, PBE.

DFT total energy	-7.140	eV/atom
formation energy	0.14	eV per atom
total moment	2.094	μB/atom

Lattice parameters (Å, degrees): 5.626 5.626 5.626 60.00 60.00 60.00
Each line ends with the local moment (μB).
Element x y z (fractional)
Gd1 0.250 0.250 0.250  -7.20
Lu1 0.000 0.000 0.000  -0.04
Ce1 0.750 0.750 0.750  -0.65
Dy1 0.500 0.500 0.500  -0.10

No. 4
PmEr2Pu: optimized geometry, PBE.

DFT total energy	-6.780	eV/atom
formation energy	0.27	eV per atom
energy relative to the lowest polymorph listed for this composition	3.92	kcal/mol of atoms
total moment	1.603	μB/atom

Lattice parameters (Å, degrees): 3.443 3.443 12.400 82.02 82.02 60.00
Each line ends with the local moment (μB).
Element x y z (fractional)
Er1 0.088 0.088 0.736  0.06
Er2 0.912 0.912 0.264  0.06
Pm1 0.500 0.500 0.500  -0.01
Pu1 0.000 0.000 0.000  5.81

No. 5
NaTe2IF: optimized geometry, PBE.

DFT total energy	-2.483	eV/atom
formation energy (no corrections)	-134	kJ/mol of formula units
energy relative to the lowest polymorph listed for this composition	4.89	kcal/mol of atoms
total moment	0.000	μB/atom

Lattice parameters (Å, degrees): 5.906 3.986 5.906 90.00 90.00 90.00
Element x y z (fractional)
I1 0.500 0.500 0.500
Na1 0.000 0.000 0.000
Te1 0.000 0.000 0.500
Te2 0.500 0.000 0.000
F1 0.000 0.500 0.000

No. 6
SmLuAu: optimized geometry, PBE.

DFT total energy	-4.595	eV/atom
formation energy	-0.42	eV per atom
energy relative to the lowest polymorph listed for this composition	2.63	kcal/mol of atoms
total moment	0.000	μB/atom

Lattice parameters (Å, degrees): 3.948 4.866 4.866 120.00 90.00 90.00
Element x y z (fractional)
Lu1 0.115 0.000 0.000
Au1 0.257 0.333 0.667
Sm1 0.628 0.667 0.333

No. 7
Ac2ZnCdRh: optimized geometry, PBE.

DFT total energy	-4.000	eV/atom
formation energy	-0.45	eV per atom
total moment	0.000	μB/atom

Lattice parameters (Å, degrees): 4.621 7.687 8.335 107.97 90.00 90.00
Element x y z (fractional)
Ac1 0.750 0.862 0.655
Ac2 0.750 0.726 0.054
Ac3 0.250 0.138 0.345
Ac4 0.250 0.274 0.946
Zn1 0.250 0.559 0.689
Zn2 0.750 0.441 0.311
Cd1 0.250 0.650 0.349
Cd2 0.750 0.350 0.651
Rh1 0.250 0.876 0.909
Rh2 0.750 0.124 0.091

No. 8
KHf2H8: optimized geometry, PBE.

DFT total energy	-4.649	eV/atom
total moment	0.000	μB/atom

Lattice parameters (Å, degrees): 3.861 5.643 5.643 114.56 92.35 92.35
Element x y z (fractional)
K1 0.500 0.000 0.000
Hf1 0.000 0.323 0.677
Hf2 0.000 0.677 0.323
H1 0.989 0.970 0.675
H2 0.989 0.675 0.970
H3 0.257 0.556 0.556
H4 0.500 0.730 0.270
H5 0.500 0.270 0.730
H6 0.743 0.444 0.444
H7 0.011 0.325 0.030
H8 0.011 0.030 0.325